Below is an optimized crystal structure of AlOs2Pb, with properties calculated at the PBE level.

Calculated values
* calculated density: 15.65 g/cm³
* space-group type: No. 123
* distance to the lowest polymorph of the same formula: 231 meV/atom
* energy of formation from the pure elements: 528 meV per atom
* VASP energy: -27.799 eV for the cell shown

a = 4.485 Å, b = 4.485 Å, c = 3.241 Å
α = 90.00°, β = 90.00°, γ = 90.00°
Fractional coordinates of all 4 atoms:
Al 0.000 0.000 0.000
Os 0.000 0.500 0.500
Os 0.500 0.000 0.500
Pb 0.500 0.500 0.000

---

Below is an optimized crystal structure of BaAg2Te, with properties calculated at the PBE level.

Calculated values
* calculated density: 6.67 g/cm³
* space-group type: No. 166
* formation energy (no corrections): -132.8 kJ/mol of formula units
* VASP energy: -12.143 eV for the cell shown

a = 6.146 Å, b = 6.146 Å, c = 6.146 Å
α = 48.54°, β = 48.54°, γ = 48.54°
Fractional coordinates of all 4 atoms:
Ba 0.000 0.000 0.000
Ag 0.214 0.214 0.214
Ag 0.786 0.786 0.786
Te 0.500 0.500 0.500

---

Below is an optimized crystal structure of Ag2Sn2S5, with properties calculated at the PBE level.

Calculated values
* calculated density: 4.90 g/cm³
* space-group type: No. 46
* formation energy (no corrections): -141.6 kJ/mol of formula units
* VASP energy: -71.627 eV for the cell shown

a = 10.032 Å, b = 10.032 Å, c = 10.032 Å
α = 58.16°, β = 141.10°, γ = 138.53°
Fractional coordinates of all 18 atoms:
Ag 0.012 0.113 0.125
Ag 0.012 0.387 0.400
Ag 0.988 0.613 0.600
Ag 0.988 0.887 0.875
Sn 0.473 0.473 0.000
Sn 0.473 0.973 0.500
Sn 0.493 0.284 0.709
Sn 0.575 0.784 0.291
S 0.007 0.138 0.369
S 0.275 0.561 0.991
S 0.275 0.784 0.213
S 0.481 0.273 0.309
S 0.481 0.671 0.708
S 0.570 0.061 0.787
S 0.570 0.284 0.009
S 0.769 0.638 0.631
S 0.964 0.171 0.691
S 0.964 0.773 0.292

---

Below is an optimized crystal structure of PuU2PaAs4, with properties calculated at the PBE level.

Calculated values
* calculated density: 10.69 g/cm³
* space-group type: No. 10
* energy of formation from the pure elements: -887 meV per atom
* VASP energy: -72.094 eV for the cell shown

a = 7.014 Å, b = 4.056 Å, c = 7.223 Å
α = 90.00°, β = 108.98°, γ = 90.00°
Fractional coordinates of all 8 atoms:
Pu 0.000 0.000 0.000
U 0.000 0.500 0.500
U 0.500 0.000 0.500
Pa 0.500 0.500 0.000
As 0.251 0.000 0.748
As 0.253 0.500 0.252
As 0.747 0.500 0.748
As 0.749 0.000 0.252

---

Below is an optimized crystal structure of Ba4CaRu, with properties calculated at the PBE level.

Calculated values
* calculated density: 4.25 g/cm³
* space-group type: No. 216
* energy of formation from the pure elements: 946 meV per atom
* VASP energy: -13.293 eV for the cell shown

a = 7.252 Å, b = 7.252 Å, c = 7.252 Å
α = 60.00°, β = 60.00°, γ = 60.00°
Fractional coordinates of all 6 atoms:
Ba 0.377 0.377 0.377
Ba 0.377 0.377 0.869
Ba 0.377 0.869 0.377
Ba 0.869 0.377 0.377
Ca 0.000 0.000 0.000
Ru 0.750 0.750 0.750

---

Below is an optimized crystal structure of SrMg2Re, with properties calculated at the PBE level.

Calculated values
* calculated density: 6.12 g/cm³
* space-group type: No. 123
* distance to the lowest polymorph of the same formula: 297 meV/atom
* energy of formation from the pure elements: 824 meV per atom
* VASP energy: -14.024 eV for the cell shown

a = 5.010 Å, b = 5.010 Å, c = 3.487 Å
α = 90.00°, β = 90.00°, γ = 90.00°
Fractional coordinates of all 4 atoms:
Sr 0.000 0.000 0.000
Mg 0.000 0.500 0.500
Mg 0.500 0.000 0.500
Re 0.500 0.500 0.000